# TlFeSi2

A relaxed structure of TlFeSi2 (PBE, Alexandria).

POSCAR file:
```
TlFeSi2
1.0
3.0195 0.0000 0.0000
0.0000 3.0195 0.0000
0.0000 0.0000 7.5878
Tl Fe Si
1 1 2
Cartesian
0.0000 0.0000 0.0000
1.5098 1.5098 2.3053
0.0000 0.0000 3.2201
1.5098 1.5098 4.7307
```

Computed properties:
ΔE_f (raw): 112.5 kJ/mol of formula units
energy above the most stable polymorph in this dataset: 0.159 eV/atom
space group: P4mm


# ErTmSbTe

A relaxed structure of ErTmSbTe (PBE, Alexandria).

POSCAR file:
```
ErTmSbTe
1.0
2.1202 1.2241 7.4771
-2.1202 1.2241 7.4771
0.0000 -2.4482 7.4771
Er Tm Sb Te
1 1 1 1
Cartesian
0.0000 0.0000 0.0000
0.0000 0.0000 4.0014
0.0000 0.0000 13.2456
0.0000 0.0000 9.4610
```

Computed properties:
ΔE_f (raw): -438.6 kJ/mol of formula units
space group: R3m


# LiNdIn2Br6

A relaxed structure of LiNdIn2Br6 (PBE, Alexandria).

POSCAR file:
```
LiNdIn2Br6
1.0
3.9211 2.2638 6.5011
-3.9211 2.2638 6.5011
0.0000 -4.5277 6.5011
Li Nd In Br
1 1 2 6
Cartesian
0.0000 0.0000 0.0000
0.0000 0.0000 9.8837
0.0000 0.0000 4.2350
0.0000 0.0000 14.1206
-0.6080 -2.3593 8.3367
-2.2531 -0.5502 11.6585
-1.7393 1.7062 8.3367
1.6031 -1.6761 11.6585
2.3472 0.6532 8.3367
0.6500 2.2263 11.6585
```

Computed properties:
ΔE_f (raw): -1258.9 kJ/mol of formula units
space group: R3


# K2Hg

A relaxed structure of K2Hg (PBE, Alexandria).

POSCAR file:
```
K2Hg
1.0
8.2436 0.0000 0.0000
0.0000 8.4876 0.0000
0.0000 0.0000 4.6181
K Hg
4 2
Cartesian
1.7941 1.2607 0.0000
2.3278 5.5045 2.3091
5.9159 2.9831 2.3091
6.4496 7.2269 0.0000
0.0000 4.2438 0.0000
4.1218 0.0000 2.3091
```

Computed properties:
formation enthalpy at 0 K: -0.33 eV/f.u.
energy above the most stable polymorph in this dataset: 0.059 eV/atom
space group: Pnnm


# NaSiSeO2

A relaxed structure of NaSiSeO2 (PBE, Alexandria).

POSCAR file:
```
NaSiSeO2
1.0
3.4774 0.0000 0.0000
0.0000 3.4774 0.0000
0.0000 0.0000 8.7870
Na Si Se O
1 1 1 2
Cartesian
0.0000 0.0000 0.0000
0.0000 0.0000 4.3935
1.7387 1.7387 0.0000
0.0000 1.7387 4.3935
1.7387 0.0000 4.3935
```

Computed properties:
ΔE_f (raw): -428.7 kJ/mol of formula units
space group: P4/mmm


# Er6TmS8

A relaxed structure of Er6TmS8 (PBE, Alexandria).

POSCAR file:
```
Er6TmS8
1.0
0.0000 5.4523 5.4523
5.4523 0.0000 5.4523
5.4523 5.4523 0.0000
Er Tm S
6 1 8
Cartesian
2.7261 2.7261 0.0000
2.7261 0.0000 2.7261
5.4523 2.7261 2.7261
0.0000 2.7261 2.7261
2.7261 5.4523 2.7261
2.7261 2.7261 5.4523
0.0000 0.0000 0.0000
2.7261 2.7261 2.7261
5.4523 5.4523 2.7267
5.4523 2.7267 5.4523
8.1779 5.4523 5.4523
2.7267 5.4523 5.4523
5.4523 8.1779 5.4523
5.4523 5.4523 8.1779
8.1784 8.1784 8.1784
```

Computed properties:
ΔE_f (raw): -2936.6 kJ/mol of formula units
space group: Fm-3m


# NaSeClO2

A relaxed structure of NaSeClO2 (PBE, Alexandria).

POSCAR file:
```
NaSeClO2
1.0
6.1746 0.0000 0.0000
0.0000 4.0112 0.0000
-1.7501 0.0000 7.2001
Na Se Cl O
2 2 2 4
Cartesian
0.6294 1.0028 3.3543
3.7950 3.0084 3.8459
-0.7527 1.0028 6.4549
5.1771 3.0084 0.7452
1.4399 3.0084 5.2288
2.9845 1.0028 1.9713
-0.3920 3.0084 2.2876
-1.2090 3.0084 6.8775
5.6335 1.0028 0.3226
4.8165 1.0028 4.9126
```

Computed properties:
ΔE_f (raw): -525.2 kJ/mol of formula units
space group: P2_1/m


# Tb2Y4ErTm2

A relaxed structure of Tb2Y4ErTm2 (PBE, Alexandria).

POSCAR file:
```
Tb2Y4ErTm2
1.0
9.3011 -1.7897 0.0000
9.3011 1.7897 0.0000
-4.1345 0.0000 8.5411
Tb Y Er Tm
2 4 1 2
Cartesian
2.0730 0.0000 1.4351
12.3948 0.0000 7.1060
0.0045 0.0000 7.1064
8.2685 0.0000 1.4241
6.1993 0.0000 7.1170
14.4632 0.0000 1.4347
-2.0673 0.0000 4.2705
4.1283 0.0000 4.2774
10.3395 0.0000 4.2637
```

Computed properties:
formation enthalpy at 0 K: 0.07 eV/f.u.
space group: C2/m


# DyErPu2

A relaxed structure of DyErPu2 (PBE, Alexandria).

POSCAR file:
```
DyErPu2
1.0
2.7262 1.5740 4.3144
-2.7262 1.5740 4.3144
0.0000 -3.1479 4.3144
Dy Er Pu
1 1 2
Cartesian
0.0000 0.0000 0.0000
0.0000 0.0000 3.2946
0.0000 0.0000 6.8236
0.0000 0.0000 9.3957
```

Computed properties:
formation enthalpy at 0 K: 1.16 eV/f.u.
energy above the most stable polymorph in this dataset: 0.122 eV/atom
space group: R3m


# La2Al4S

A relaxed structure of La2Al4S (PBE, Alexandria).

POSCAR file:
```
La2Al4S
1.0
-2.4322 2.4322 7.7584
2.4322 -2.4322 7.7584
2.4322 2.4322 -7.7584
La Al S
2 4 1
Cartesian
0.0000 0.0000 2.2845
0.0000 0.0000 13.2324
2.4322 0.0000 0.0000
0.0000 0.0000 5.4165
0.0000 2.4322 0.0000
0.0000 0.0000 10.1003
0.0000 0.0000 7.7584
```

Computed properties:
ΔE_f (raw): -34.0 kJ/mol of formula units
space group: I4/mmm


# Rb2SnSeS

A relaxed structure of Rb2SnSeS (PBE, Alexandria).

POSCAR file:
```
Rb2SnSeS
1.0
7.6522 0.0000 0.0000
0.0000 4.3395 0.0000
-3.0895 0.0000 11.7697
Rb Sn Se S
4 2 2 2
Cartesian
0.2023 1.0849 4.4877
1.7005 3.2546 0.1081
2.8622 1.0849 11.6616
4.3604 3.2546 7.2820
0.0994 1.0849 9.0484
4.4633 3.2546 2.7213
0.3475 3.2546 7.3308
4.2152 1.0849 4.4389
-2.3272 1.0849 9.5981
6.8900 3.2546 2.1716
```

Computed properties:
ΔE_f (raw): -422.0 kJ/mol of formula units
space group: P2_1/m


# ZnHgTe2

A relaxed structure of ZnHgTe2 (PBE, Alexandria).

POSCAR file:
```
ZnHgTe2
1.0
10.8256 0.0000 0.0000
0.0000 4.1995 0.0000
-8.9699 0.0000 10.8587
Zn Hg Te
4 4 8
Cartesian
-3.5415 0.9800 4.8104
-8.0264 1.1198 10.2397
9.8821 3.0797 0.6190
5.3972 3.2195 6.0483
-1.2771 2.2086 3.3302
-5.7620 4.0906 8.7596
7.6178 0.1089 2.0991
3.1328 1.9909 7.5284
-2.7080 3.0806 6.2275
1.7769 3.2187 0.7982
0.8693 0.0218 4.0736
-3.6156 2.0779 9.5029
5.4713 2.1216 1.3558
0.9864 4.1777 6.7851
0.0788 0.9808 10.0604
4.5637 1.1189 4.6311
```

Computed properties:
ΔE_f (raw): -22.2 kJ/mol of formula units
space group: P2_1/c


# ZrMn3Sb

A relaxed structure of ZrMn3Sb (PBE, Alexandria).

POSCAR file:
```
ZrMn3Sb
1.0
4.8176 0.0000 0.0000
0.0000 4.8176 0.0000
0.0000 0.0000 4.8176
Zr Mn Sb
1 3 1
Cartesian
0.0000 0.0000 0.0000
0.0000 2.4088 2.4088
2.4088 0.0000 2.4088
2.4088 2.4088 0.0000
2.4088 2.4088 2.4088
```

Computed properties:
ΔE_f (raw): 446.6 kJ/mol of formula units
energy above the most stable polymorph in this dataset: 0.000 eV/atom
space group: Pm-3m


# NaCoP2

A relaxed structure of NaCoP2 (PBE, Alexandria).

POSCAR file:
```
NaCoP2
1.0
-3.1031 3.1031 4.4605
3.1031 -3.1031 4.4605
3.1031 3.1031 -4.4605
Na Co P
2 2 4
Cartesian
0.0000 0.0000 0.0000
0.0000 3.1031 2.2302
3.1031 0.0000 2.2302
0.0000 0.0000 4.4605
1.5515 -0.8737 3.3453
2.2294 1.5515 1.1151
1.5515 3.9768 -1.1151
0.8737 1.5515 5.5756
```

Computed properties:
formation enthalpy at 0 K: -0.17 eV/f.u.
energy above the most stable polymorph in this dataset: 0.000 eV/atom
space group: I-42d


# Er2TlP

A relaxed structure of Er2TlP (PBE, Alexandria).

POSCAR file:
```
Er2TlP
1.0
1.9197 1.1083 8.0867
-1.9197 1.1083 8.0867
0.0000 -2.2166 8.0867
Er Tl P
2 1 1
Cartesian
0.0000 0.0000 0.0000
0.0000 0.0000 4.9045
0.0000 0.0000 18.6205
0.0000 0.0000 14.5578
```

Computed properties:
formation enthalpy at 0 K: -3.66 eV/f.u.
energy above the most stable polymorph in this dataset: 0.045 eV/atom
space group: R3m


# Cs2Cd2Te4Pb

A relaxed structure of Cs2Cd2Te4Pb (PBE, Alexandria).

POSCAR file:
```
Cs2Cd2Te4Pb
1.0
8.8564 -2.3775 0.0000
8.8564 2.3775 0.0000
-2.9244 0.0000 8.5923
Cs Cd Te Pb
2 2 4 1
Cartesian
2.1168 0.0000 0.4551
12.6716 0.0000 8.1371
4.3253 0.0000 4.5091
10.4632 0.0000 4.0832
1.6024 0.0000 5.7927
6.4046 0.0000 6.3783
8.3839 0.0000 2.2140
13.1860 0.0000 2.7996
-1.4622 0.0000 4.2961
```

Computed properties:
ΔE_f (raw): -612.5 kJ/mol of formula units
space group: C2/m